This record from Alexandria via LeMat-Bulk describes an optimized crystal structure of LaRh3S. The functional is PBE.

Cell: 4.530 4.530 4.530 Å, 90.00 90.00 90.00°
Fractional positions:
S: 0.000 0.000 0.000
Rh: 0.000 0.500 0.000
Rh: 0.000 0.000 0.500
Rh: 0.500 0.000 0.000
La: 0.500 0.500 0.500

Fermi-level density of states ... 5.8 states/eV/cell
Formation energy from raw total energies ... -0.523 eV/atom
Total magnetic moment ... 0.00 Bohr magnetons per cell
Raw total energy ... -0.496 Ry per atom

***

This record from Alexandria via LeMat-Bulk describes an optimized crystal structure of La2RhS2. The functional is PBE.

Cell: 7.543 7.543 3.861 Å, 90.00 90.00 90.00°
Fractional positions:
S: 0.349 0.849 0.000
S: 0.849 0.651 0.000
S: 0.651 0.151 0.000
S: 0.151 0.349 0.000
Rh: 0.000 0.000 0.000
Rh: 0.500 0.500 0.000
La: 0.163 0.663 0.500
La: 0.663 0.837 0.500
La: 0.837 0.337 0.500
La: 0.337 0.163 0.500

Fermi-level density of states ... 6.1 states/eV/cell
Formation energy from raw total energies ... -1.376 eV/atom
Total magnetic moment ... 0.00 Bohr magnetons per cell
Raw total energy ... -0.475 Ry per atom

***

This record from Alexandria via LeMat-Bulk describes an optimized crystal structure of LaRh2S. The functional is PBE.

Cell: 4.813 4.813 8.326 Å, 73.20 73.20 90.00°
Fractional positions:
S: 0.500 0.500 0.000
S: 0.250 0.750 0.500
Rh: 0.468 0.125 0.250
Rh: 0.282 0.625 0.250
Rh: 0.375 0.532 0.750
Rh: 0.875 0.718 0.750
La: 0.000 0.000 0.000
La: 0.750 0.250 0.500

Fermi-level density of states ... 2.7 states/eV/cell
Formation energy from raw total energies ... -0.742 eV/atom
Total magnetic moment ... 0.00 Bohr magnetons per cell
Raw total energy ... -0.491 Ry per atom